Here is UAl2Cu2 after structural relaxation from Alexandria via LeMat-Bulk. Energies are from PBE.

a b c (Å): 7.779 7.779 2.658
angles (deg): 90.00 90.00 90.00
Positions (direct):
U 0.000 0.000 0.000
U 0.500 0.500 0.000
Al 0.129 0.371 0.000
Al 0.371 0.871 0.000
Al 0.629 0.129 0.000
Al 0.871 0.629 0.000
Cu 0.163 0.663 0.500
Cu 0.337 0.163 0.500
Cu 0.663 0.837 0.500
Cu 0.837 0.337 0.500

## Properties
symmetry: P4/mbm (127)
uncorrected energy: -5.43 eV per atom
density: 8.7 g/cm³
calculated formation energy: -32 meV/atom